MnH2Ru | PBE | optimized geometry

```
MnH2Ru
1.0
4.952 2.859 2.197
-4.952 2.859 2.197
0.000 -5.718 2.197
Mn H Ru
6 12 6
direct
0.179 0.728 0.583 Mn
0.272 0.417 0.821 Mn
0.417 0.821 0.272 Mn
0.583 0.179 0.728 Mn
0.728 0.583 0.179 Mn
0.821 0.272 0.417 Mn
0.085 0.688 0.249 H
0.165 0.395 0.474 H
0.249 0.085 0.688 H
0.312 0.751 0.915 H
0.395 0.474 0.165 H
0.474 0.165 0.395 H
0.526 0.835 0.605 H
0.605 0.526 0.835 H
0.688 0.249 0.085 H
0.751 0.915 0.312 H
0.835 0.605 0.526 H
0.915 0.312 0.751 H
0.036 0.345 0.118 Ru
0.118 0.036 0.345 Ru
0.345 0.118 0.036 Ru
0.655 0.882 0.964 Ru
0.882 0.964 0.655 Ru
0.964 0.655 0.882 Ru
```

E above lowest polymorph in eV/atom: 0.000
DFT total energy in eV per formula unit: -24.89
Space group: R-3, No. 148
Spin magnetization in μB/f.u.: 1.71

Mn3H4Ru | PBE | optimized geometry

```
Mn3H4Ru
1.0
-1.928 1.928 3.961
1.928 -1.928 3.961
1.928 1.928 -3.961
Mn H Ru
3 4 1
direct
0.000 0.000 0.000 Mn
0.250 0.750 0.500 Mn
0.750 0.250 0.500 Mn
0.000 0.500 0.500 H
0.262 0.262 0.000 H
0.500 0.000 0.500 H
0.738 0.738 0.000 H
0.500 0.500 0.000 Ru
```

DFT total energy in eV per formula unit: -50.35
Space group: I4/mmm, No. 139
Spin magnetization in μB/f.u.: 2.53

Mn3H2Ru | PBE | optimized geometry

```
Mn3H2Ru
1.0
4.743 -1.323 0.000
4.743 1.323 0.000
-4.395 0.000 7.978
Mn H Ru
6 4 2
direct
0.113 0.113 0.476 Mn
0.125 0.125 0.979 Mn
0.381 0.381 0.277 Mn
0.619 0.619 0.723 Mn
0.875 0.875 0.021 Mn
0.887 0.887 0.524 Mn
0.241 0.241 0.876 H
0.264 0.264 0.391 H
0.736 0.736 0.609 H
0.759 0.759 0.124 H
0.383 0.383 0.775 Ru
0.617 0.617 0.225 Ru
```

DFT total energy in eV per formula unit: -43.65
Space group: C2/m, No. 12
Spin magnetization in μB/f.u.: 0.00

Mn2HRu | PBE | optimized geometry

```
Mn2HRu
1.0
2.615 0.000 0.000
0.000 2.615 0.000
0.000 0.000 5.808
Mn H Ru
2 1 1
direct
0.000 0.000 0.189 Mn
0.000 0.000 0.811 Mn
0.500 0.500 0.000 H
0.500 0.500 0.500 Ru
```

E above lowest polymorph in eV/atom: 0.293
DFT total energy in eV per formula unit: -29.83
Space group: P4/mmm, No. 123
Spin magnetization in μB/f.u.: 2.11

Mn3HRu | PBE | optimized geometry

```
Mn3HRu
1.0
4.772 0.000 0.000
0.000 4.772 0.000
0.000 0.000 4.772
Mn H Ru
3 1 1
direct
0.000 0.000 0.500 Mn
0.000 0.500 0.000 Mn
0.500 0.000 0.000 Mn
0.500 0.500 0.500 H
0.000 0.000 0.000 Ru
```

E above lowest polymorph in eV/atom: 1.573
DFT total energy in eV per formula unit: -32.25
Space group: Pm-3m, No. 221
Spin magnetization in μB/f.u.: 12.60

MnHRu3 | PBE | optimized geometry

```
MnHRu3
1.0
8.686 -1.360 0.000
8.686 1.360 0.000
-0.415 0.000 4.661
Mn H Ru
2 2 6
direct
0.059 0.059 0.178 Mn
0.941 0.941 0.822 Mn
0.251 0.251 0.262 H
0.749 0.749 0.738 H
0.181 0.181 0.898 Ru
0.324 0.324 0.613 Ru
0.443 0.443 0.303 Ru
0.557 0.557 0.697 Ru
0.676 0.676 0.387 Ru
0.819 0.819 0.102 Ru
```

E above lowest polymorph in eV/atom: 0.000
DFT total energy in eV per formula unit: -39.98
Space group: C2/m, No. 12
Spin magnetization in μB/f.u.: 0.00

What is the formula in the third record?
Mn3H2Ru

Which value of spin magnetization does entry 2 give?
2.53 μB/f.u.